5
Lattice="4.571 0.000 0.000 0.000 4.571 0.000 0.000 0.000 3.461" Properties=species:S:1:pos:R:3 comment="FeBCl2F | Alexandria | PBE+U | optimized geometry" dft_energy_ev_per_atom=-3.619 dos_ef_per_ev_cell=1.74 total_magnetization_mub_per_cell=3.08 volume_a3_per_atom=14.46 pbc="T T T"
Fe 0.000 0.000 0.000
B 2.285 2.285 1.731
Cl 0.000 2.285 1.731
Cl 2.285 0.000 1.731
F 2.285 2.285 0.000